First-principles (SCAN) data for a PBEsol-optimized structure of LiB12PC, as listed in Alexandria.

Properties
Raw total energy in eV/atom: -7.7989
ΔH_f (0 K) in kJ/mol of atoms: -32
D(E_F) in states/eV per cell: 0.00

Geometry as CIF:
```
data_LiB12PC
_cell_length_a 5.747
_cell_length_b 8.115
_cell_length_c 10.132
_cell_angle_alpha 90.00
_cell_angle_beta 90.00
_cell_angle_gamma 90.00
_symmetry_space_group_name_H-M 'I m a 2'
_symmetry_Int_Tables_number 46
loop_
_symmetry_equiv_pos_as_xyz
'x,y,z'
'-x,-y,z'
'-x+1/2,y,z'
'x+1/2,-y,z'
'x+1/2,y+1/2,z+1/2'
'-x+1/2,-y+1/2,z+1/2'
'-x,y+1/2,z+1/2'
'x,-y+1/2,z+1/2'
loop_
_atom_site_label
_atom_site_type_symbol
_atom_site_fract_x
_atom_site_fract_y
_atom_site_fract_z
_atom_site_occupancy
Li1 Li 0.250 0.064 0.000 1
B1 B 0.007 0.197 0.339 1
B2 B 0.007 0.713 0.177 1
B3 B 0.088 0.591 0.318 1
B4 B 0.092 0.583 0.695 1
B5 B 0.250 0.570 0.847 1
B6 B 0.250 0.590 0.169 1
B7 B 0.250 0.716 0.590 1
B8 B 0.250 0.727 0.424 1
P1 P 0.250 0.120 0.585 1
C1 C 0.250 0.122 0.403 1
```